Below is Ti2HgBi2 after structural relaxation, with properties calculated at the GGA-PBE level.

a b c (Å): 8.2219 8.2219 3.5552
angles (deg): 90.00 90.00 90.00
Fractional coordinates of all 10 atoms:
1 Bi 0.8402 0.6598 0.0000
2 Bi 0.6598 0.1598 0.0000
3 Bi 0.3402 0.8402 0.0000
4 Bi 0.1598 0.3402 0.0000
5 Ti 0.1257 0.6257 0.5000
6 Ti 0.3743 0.1257 0.5000
7 Ti 0.8743 0.3743 0.5000
8 Ti 0.6257 0.8743 0.5000
9 Hg 0.0000 0.0000 0.0000
10 Hg 0.5000 0.5000 0.0000

## Properties
- Space-group type: No. 127
- Total magnetization: 0.0 Bohr magnetons per cell
- Crystal system: tetragonal
- Energy relative to the lowest polymorph listed for this composition: 1.140 eV/f.u.
- ΔH_f (0 K): 0.163 eV/atom

=====

Below is Tc2O5F4 after structural relaxation, with properties calculated at the GGA-PBE level.

a b c (Å): 3.7129 5.3321 8.9106
angles (deg): 106.11 90.00 90.00
Fractional coordinates of all 11 atoms:
1 F 0.5000 0.1131 0.1970
2 F 0.5000 0.8869 0.8030
3 F 0.5000 0.1910 0.6704
4 F 0.5000 0.8090 0.3296
5 O 0.0000 0.0000 0.5000
6 O 0.0000 0.2050 0.8960
7 O 0.0000 0.6677 0.6856
8 O 0.0000 0.7950 0.1040
9 O 0.0000 0.3323 0.3144
10 Tc 0.0000 0.0034 0.2872
11 Tc 0.0000 0.9966 0.7128

## Properties
- Space-group type: No. 10
- Total magnetization: 0.0 Bohr magnetons per cell
- Crystal system: monoclinic
- E_form (uncorrected): -1.2218 eV/atom
- Energy relative to the lowest polymorph listed for this composition: 4.137 eV/f.u.

=====

> Number 2 is which compound?

Tc2O5F4

=====

> Look up the total magnetization of the second one.

0.0 Bohr magnetons per cell